This record from the Alexandria database describes YMnSb2 after structural relaxation. The functional is PBE.

Volume, Å³ per atom: 24.56
E_tot, eV/atom: -6.23
N(E_F), states/eV per cell: 3.2
Formation energy from raw total energies, kcal/mol of atoms: -5.990

Unit cell a=3.6159 b=4.1011 c=6.7497 alpha=90.00 beta=101.02 gamma=90.00
With the nearest neighbours (Å) after each atom.
Element x y z (fractional)
Y 0.0000 0.0000 0.0000  8 Sb 3.12-3.37
Mn 0.5000 0.0000 0.5000  4 Sb 2.73
Sb 0.3432 0.5000 0.7369  2 Mn 2.73
Sb 0.6568 0.5000 0.2631  2 Mn 2.73